# Cs2TiSi | the Alexandria database | PBE | optimized geometry
data_Cs2TiSi
_cell_length_a 8.585
_cell_length_b 8.585
_cell_length_c 8.585
_cell_angle_alpha 90.00
_cell_angle_beta 90.00
_cell_angle_gamma 90.00
_space_group_name_H-M_alt 'F m -3 m'
_space_group_IT_number 225
_space_group_name_Hall '-F 4 2 3'
loop_
_atom_site_label
_atom_site_type_symbol
_atom_site_fract_x
_atom_site_fract_y
_atom_site_fract_z
Cs1 Cs 0.250 0.250 0.250
Ti1 Ti 0.000 0.000 0.000
Si1 Si 0.000 0.000 0.500
# Magnetic moment   2.00 μB per formula unit
# DFT total energy   -39.52 eV for the cell shown


# CsTi3Si | the Alexandria database | PBE | optimized geometry
data_CsTi3Si
_cell_length_a 4.926
_cell_length_b 4.926
_cell_length_c 4.926
_cell_angle_alpha 90.00
_cell_angle_beta 90.00
_cell_angle_gamma 90.00
_space_group_name_H-M_alt 'P m -3 m'
_space_group_IT_number 221
_space_group_name_Hall '-P 4 2 3'
loop_
_atom_site_label
_atom_site_type_symbol
_atom_site_fract_x
_atom_site_fract_y
_atom_site_fract_z
Cs1 Cs 0.000 0.000 0.000
Ti1 Ti 0.000 0.500 0.500
Si1 Si 0.500 0.500 0.500
# Magnetic moment   1.44 μB per formula unit
# DFT total energy   -25.64 eV for the cell shown


# CsTi2Si2 | the Alexandria database | PBE | optimized geometry
data_CsTi2Si2
_cell_length_a 8.559
_cell_length_b 8.559
_cell_length_c 2.954
_cell_angle_alpha 90.00
_cell_angle_beta 90.00
_cell_angle_gamma 90.00
_space_group_name_H-M_alt 'P 4/m b m'
_space_group_IT_number 127
_space_group_name_Hall '-P 4 2ab'
loop_
_atom_site_label
_atom_site_type_symbol
_atom_site_fract_x
_atom_site_fract_y
_atom_site_fract_z
Cs1 Cs 0.000 0.000 0.000
Ti1 Ti 0.121 0.379 0.500
Si1 Si 0.148 0.648 0.000
# Magnetic moment   0.99 μB per formula unit
# DFT total energy   -52.04 eV for the cell shown
# ΔE to the lowest computed polymorph   7.54 kcal/mol of atoms


# CsTi2Si2 | the Alexandria database | PBE | optimized geometry
data_CsTi2Si2
_cell_length_a 4.550
_cell_length_b 4.550
_cell_length_c 14.389
_cell_angle_alpha 90.00
_cell_angle_beta 90.00
_cell_angle_gamma 90.00
_space_group_name_H-M_alt 'I 4/m m m'
_space_group_IT_number 139
_space_group_name_Hall '-I 4 2'
loop_
_atom_site_label
_atom_site_type_symbol
_atom_site_fract_x
_atom_site_fract_y
_atom_site_fract_z
Cs1 Cs 0.000 0.000 0.000
Ti1 Ti 0.000 0.500 0.250
Si1 Si 0.000 0.000 0.326
# Magnetic moment   0.00 μB per formula unit
# DFT total energy   -55.31 eV for the cell shown
# ΔE to the lowest computed polymorph   0.00 kcal/mol of atoms


# CsTl2Si2 | the Alexandria database | PBE | optimized geometry
data_CsTl2Si2
_cell_length_a 5.283
_cell_length_b 5.283
_cell_length_c 10.443
_cell_angle_alpha 90.00
_cell_angle_beta 90.00
_cell_angle_gamma 90.00
_space_group_name_H-M_alt 'I 4/m m m'
_space_group_IT_number 139
_space_group_name_Hall '-I 4 2'
loop_
_atom_site_label
_atom_site_type_symbol
_atom_site_fract_x
_atom_site_fract_y
_atom_site_fract_z
Cs1 Cs 0.000 0.000 0.000
Tl1 Tl 0.000 0.500 0.250
Si1 Si 0.000 0.000 0.386
# Magnetic moment   0.00 μB per formula unit
# DFT total energy   -31.12 eV for the cell shown
# ΔE to the lowest computed polymorph   0.00 kcal/mol of atoms


# Cs2Tl2Si | the Alexandria database | PBE | optimized geometry
data_Cs2Tl2Si
_cell_length_a 7.714
_cell_length_b 7.714
_cell_length_c 6.509
_cell_angle_alpha 90.00
_cell_angle_beta 90.00
_cell_angle_gamma 90.00
_space_group_name_H-M_alt 'P 4/m b m'
_space_group_IT_number 127
_space_group_name_Hall '-P 4 2ab'
loop_
_atom_site_label
_atom_site_type_symbol
_atom_site_fract_x
_atom_site_fract_y
_atom_site_fract_z
Cs1 Cs 0.182 0.318 0.000
Tl1 Tl 0.144 0.644 0.500
Si1 Si 0.000 0.000 0.500
# Magnetic moment   0.00 μB per formula unit
# DFT total energy   -21.77 eV for the cell shown


# CsTlSi3 | the Alexandria database | PBE | optimized geometry
data_CsTlSi3
_cell_length_a 5.709
_cell_length_b 5.709
_cell_length_c 5.709
_cell_angle_alpha 90.00
_cell_angle_beta 90.00
_cell_angle_gamma 90.00
_space_group_name_H-M_alt 'P m -3 m'
_space_group_IT_number 221
_space_group_name_Hall '-P 4 2 3'
loop_
_atom_site_label
_atom_site_type_symbol
_atom_site_fract_x
_atom_site_fract_y
_atom_site_fract_z
Cs1 Cs 0.000 0.000 0.000
Tl1 Tl 0.500 0.500 0.500
Si1 Si 0.000 0.000 0.500
# Magnetic moment   0.00 μB per formula unit
# DFT total energy   -9.59 eV for the cell shown
# ΔE to the lowest computed polymorph   20.22 kcal/mol of atoms


# CsTlSi3 | the Alexandria database | PBE | optimized geometry
data_CsTlSi3
_cell_length_a 5.493
_cell_length_b 5.493
_cell_length_c 5.493
_cell_angle_alpha 90.00
_cell_angle_beta 90.00
_cell_angle_gamma 90.00
_space_group_name_H-M_alt 'P m -3 m'
_space_group_IT_number 221
_space_group_name_Hall '-P 4 2 3'
loop_
_atom_site_label
_atom_site_type_symbol
_atom_site_fract_x
_atom_site_fract_y
_atom_site_fract_z
Cs1 Cs 0.000 0.000 0.000
Tl1 Tl 0.500 0.500 0.500
Si1 Si 0.000 0.500 0.500
# Magnetic moment   0.00 μB per formula unit
# DFT total energy   -13.98 eV for the cell shown
# ΔE to the lowest computed polymorph   0.00 kcal/mol of atoms